Entry from Alexandria: a relaxed structure of GdYAl (GGA-PBE).

abc: 5.0889 5.0889 3.5768
angles: 90.00 90.00 120.00
Last column: nearest neighbours and their distance in Å.
Atoms (fractional coordinates):
Gd1 0.0000 0.0000 0.0000  3 Al 3.12, 3 Y 3.32
Y1 0.3333 0.6667 0.4348  3 Al 3.10, 3 Gd 3.32
Al1 0.6667 0.3333 0.7074  3 Y 3.10, 3 Gd 3.12

Summary:
offset from the most stable computed form	100	meV/atom
theoretical density	5.65	g/cm3
energy of formation from the pure elements	-0.155	eV per atom
spin magnetization	7.25	Bohr magnetons per cell